[1]
KIn2Hg2 | GGA-PBEsol | relaxed

Values from the calculation:
**ΔE_f**: -0.1242 eV per atom
**N(E_F)**: 1.82 states/eV/f.u.
**Volume**: 265.56 Å³/cell
**Offset from the most stable computed form**: 55.2 meV/atom
**Crystal system**: tetragonal

Cell: 9.013 9.013 3.269 Å, 90.00 90.00 90.00°
Fractional positions:
K 0.000 0.000 0.000
K 0.500 0.500 0.000
In 0.143 0.357 0.500
In 0.357 0.857 0.500
In 0.643 0.143 0.500
In 0.857 0.643 0.500
Hg 0.152 0.652 0.000
Hg 0.348 0.152 0.000
Hg 0.652 0.848 0.000
Hg 0.848 0.348 0.000

[2]
K2InHg | GGA-PBEsol | relaxed

Values from the calculation:
**ΔE_f**: -0.0034 eV per atom
**N(E_F)**: 2.94 states/eV/f.u.
**Volume**: 132.83 Å³/cell
**Offset from the most stable computed form**: 107.9 meV/atom
**Crystal system**: tetragonal

Cell: 6.359 6.359 6.359 Å, 133.54 133.54 67.81°
Fractional positions:
K 0.250 0.750 0.500
K 0.750 0.250 0.500
In 0.000 0.000 0.000
Hg 0.500 0.500 0.000

[3]
KInHg | GGA-PBEsol | relaxed

Values from the calculation:
**ΔE_f**: -0.1536 eV per atom
**N(E_F)**: 1.59 states/eV/f.u.
**Volume**: 84.49 Å³/cell
**Offset from the most stable computed form**: 0.0 meV/atom
**Crystal system**: hexagonal

Cell: 5.273 5.273 3.509 Å, 90.00 90.00 120.00°
Fractional positions:
K 0.000 0.000 0.000
In 0.667 0.333 0.500
Hg 0.333 0.667 0.500

[4]
KIn2HgTe | GGA-PBEsol | relaxed

Values from the calculation:
**N(E_F)**: 2.32 states/eV/f.u.
**Volume**: 172.51 Å³/cell
**Uncorrected energy**: -2.23 eV/atom
**Crystal system**: tetragonal

Cell: 5.409 5.409 5.897 Å, 90.00 90.00 90.00°
Fractional positions:
K 0.000 0.000 0.000
In 0.000 0.500 0.500
In 0.500 0.000 0.500
Hg 0.000 0.000 0.500
Te 0.500 0.500 0.000

[5]
La2InHg | GGA-PBEsol | relaxed

Values from the calculation:
**ΔE_f**: -0.5232 eV per atom
**N(E_F)**: 4.16 states/eV/f.u.
**Volume**: 112.33 Å³/cell
**Crystal system**: orthorhombic

Cell: 3.500 4.473 7.177 Å, 90.00 90.00 90.00°
Fractional positions:
La 0.000 0.000 0.248
La 0.000 0.000 0.752
In 0.500 0.500 0.500
Hg 0.500 0.500 0.000

[6]
LaIn2Hg | GGA-PBEsol | relaxed

Values from the calculation:
**ΔE_f**: -0.4970 eV per atom
**N(E_F)**: 2.00 states/eV/f.u.
**Volume**: 102.05 Å³/cell
**Crystal system**: tetragonal

Cell: 4.677 4.677 4.665 Å, 90.00 90.00 90.00°
Fractional positions:
La 0.000 0.000 0.000
In 0.000 0.500 0.500
In 0.500 0.000 0.500
Hg 0.500 0.500 0.000